This record from Alexandria via LeMat-Bulk describes a relaxed ReAu2Se crystal. The functional is PBE-GGA.

The calculation puts the total magnetic moment at 0.00 μB per atom. The calculation puts the total energy at -19.714 eV for the cell shown. The value obtained for the density of states at the Fermi level is 2.99 states/eV/f.u.

The structure belongs to space group P2/m (No. 10); the cell edges are 2.7441, 4.1468 and 6.2850 Å and the angles 90.00°, 90.22° and 90.00°. The distinct sites, in fractional coordinates, are Re at (0.0000, 0.0000, 0.0000), Au at (0.4980, 0.5000, 0.7694) and Se at (0.0000, 0.0000, 0.5000).